Compound: RbRu3Au
Source: Alexandria via LeMat-Bulk
Functional: PBE
Structure: optimized geometry

POSCAR file:
```
RbRu3Au
1.0
-2.793 1.599 -3.931
3.548 -1.703 -3.213
-2.328 -4.512 -0.180
Au Rb Ru
1 1 3
Direct
0.000 0.000 0.000
0.500 0.500 0.500
0.500 0.000 0.000
0.000 0.000 0.500
0.000 0.500 0.000
```

Offset from the most stable computed form in meV per atom: 0
Energy of formation from the pure elements in eV per atom: 1.95
Space-group type: Pm-3m, No. 221
E in eV per cell: -22.3

=====

Compound: RbRuAu3
Source: Alexandria via LeMat-Bulk
Functional: PBE
Structure: optimized geometry

POSCAR file:
```
RbRuAu3
1.0
5.714 0.000 0.000
0.000 5.714 0.000
0.000 0.000 5.714
Au Ru Rb
3 1 1
Direct
0.000 0.000 0.500
0.000 0.500 0.000
0.500 0.000 0.000
0.500 0.500 0.500
0.000 0.000 0.000
```

Offset from the most stable computed form in meV per atom: 1642
Energy of formation from the pure elements in eV per atom: 2.10
Space-group type: Pm-3m, No. 221
E in eV per cell: -9.6

=====

Compound: Rb2RuAu
Source: Alexandria via LeMat-Bulk
Functional: PBE
Structure: optimized geometry

POSCAR file:
```
Rb2RuAu
1.0
-0.843 -0.403 9.648
8.452 -4.715 0.542
5.168 -0.088 5.317
Rb Au Ru
4 2 2
Direct
0.062 0.625 0.250
0.375 0.312 0.750
0.688 0.125 0.250
0.875 0.938 0.750
0.000 0.000 0.000
0.750 0.250 0.500
0.250 0.750 0.500
0.500 0.500 0.000
```

Offset from the most stable computed form in meV per atom: 0
Energy of formation from the pure elements in eV per atom: 0.97
Space-group type: I-42d, No. 122
E in eV per cell: -21.2